1.
# TePd12

A relaxed structure of TePd12 (PBE-GGA, OQMD via LeMat-Bulk).

Cell: 6.7253 2.8276 34.4601 Å, 90.00 90.30 90.00°
Fractional positions:
Te (0.1692, 0.2500, 0.2879)
Te (0.8308, 0.7500, 0.7121)
Pd (0.1642, 0.2500, 0.1500)
Pd (0.1651, 0.2500, 0.7313)
Pd (0.1652, 0.7500, 0.0807)
Pd (0.1647, 0.7500, 0.2191)
Pd (0.1663, 0.2500, 0.0114)
Pd (0.1671, 0.7500, 0.9422)
Pd (0.1690, 0.2500, 0.8726)
Pd (0.1753, 0.7500, 0.8028)
Pd (0.4971, 0.7500, 0.1734)
Pd (0.4970, 0.7500, 0.7538)
Pd (0.4987, 0.2500, 0.1036)
Pd (0.4994, 0.7500, 0.0345)
Pd (0.5006, 0.2500, 0.9655)
Pd (0.5013, 0.7500, 0.8964)
Pd (0.5030, 0.2500, 0.2462)
Pd (0.5029, 0.2500, 0.8266)
Pd (0.8247, 0.2500, 0.1972)
Pd (0.8310, 0.7500, 0.1274)
Pd (0.8329, 0.2500, 0.0578)
Pd (0.8337, 0.7500, 0.9886)
Pd (0.8353, 0.2500, 0.7809)
Pd (0.8348, 0.2500, 0.9193)
Pd (0.8349, 0.7500, 0.2687)
Pd (0.8358, 0.7500, 0.8500)

Properties
- calculated density (kg/m3) = 7119
- crystal system = monoclinic
- symmetry = P2_1/m, No. 11
- total energy (eV/cell) = -130.16

2.
# TaB4

A relaxed structure of TaB4 (PBE-GGA, OQMD via LeMat-Bulk).

Cell: 9.9679 3.0638 3.0638 Å, 119.01 90.00 90.00°
Fractional positions:
Ta (0.1666, 0.0000, 0.0000)
Ta (0.8334, 0.0000, 0.0000)
B (0.0000, 0.3351, 0.6682)
B (0.0000, 0.6682, 0.3351)
B (0.3385, 0.3404, 0.6843)
B (0.3385, 0.6843, 0.3404)
B (0.5000, 0.0777, 0.4130)
B (0.5000, 0.4130, 0.0777)
B (0.6615, 0.3404, 0.6843)
B (0.6615, 0.6843, 0.3404)

Properties
- calculated density (kg/m3) = 9099
- crystal system = orthorhombic
- symmetry = Amm2, No. 38
- total energy (eV/cell) = -80.24